1.
DFT (PBE) results for Nd9Tm4In11 after structural relaxation.

Computed properties:
The space group is Cmmm. Its formation energy is -0.398 eV/atom. The theoretical density is 7.86 g/cm3. The magnetic moment is 0.00 μB per formula unit.

```
24
Lattice="9.0143 -10.7699 0.0000 9.0143 10.7699 0.0000 0.0000 0.0000 3.5225" Properties=species:S:1:pos:R:3 pbc="T T T"
Nd 0.0000 0.0000 0.0000
Nd 6.9381 5.5451 0.0000
Nd 6.7826 1.8493 0.0000
Nd 11.0905 5.5451 0.0000
Nd 6.7826 -1.8493 0.0000
Nd 11.2461 1.8493 0.0000
Nd 6.9381 -5.5451 0.0000
Nd 11.2461 -1.8493 0.0000
Nd 11.0905 -5.5451 0.0000
Tm 2.7273 1.8399 0.0000
Tm 2.7273 -1.8399 0.0000
Tm 15.3014 1.8399 0.0000
Tm 15.3014 -1.8399 0.0000
In 4.5842 3.8010 1.7613
In 9.0143 7.8704 1.7613
In 4.6239 0.0000 1.7613
In 9.0143 3.5573 1.7613
In 4.5842 -3.8010 1.7613
In 9.0143 0.0000 1.7613
In 13.4444 3.8010 1.7613
In 9.0143 -3.5573 1.7613
In 13.4048 0.0000 1.7613
In 9.0143 -7.8704 1.7613
In 13.4444 -3.8010 1.7613
```



2.
DFT (PBE) results for Nd6Tm8In after structural relaxation.

Computed properties:
The space group is P-3. Its formation energy is 0.070 eV/atom. The theoretical density is 7.94 g/cm3. The magnetic moment is 0.00 μB per formula unit.

```
15
Lattice="9.4351 0.0000 0.0000 -4.7175 8.1710 0.0000 0.0000 0.0000 6.3218" Properties=species:S:1:pos:R:3 pbc="T T T"
Nd -2.1774 5.2199 1.1850
Nd 1.2856 3.6754 1.1850
Nd 3.8258 0.7243 5.1368
Nd 0.8917 7.4467 1.1850
Nd 3.4319 4.4956 5.1368
Nd 6.8949 2.9511 5.1368
Tm -3.2949 6.3449 4.3547
Tm 0.8702 2.1451 4.3547
Tm 2.2928 0.3189 1.9671
Tm 0.0000 5.4473 4.2774
Tm 4.7175 2.7237 2.0444
Tm 2.4247 7.8521 4.3547
Tm 3.8473 6.0259 1.9671
Tm 8.0125 1.8261 1.9671
In 0.0000 0.0000 0.0000
```



3.
DFT (PBE) results for Nd2Tm3In after structural relaxation.

Computed properties:
The space group is Imma. Its formation energy is -0.133 eV/atom. As for the distance to the lowest polymorph of the same formula: 11 meV per atom. The theoretical density is 8.27 g/cm3. The magnetic moment is 0.00 μB per formula unit.

```
12
Lattice="-2.5524 4.6232 7.7464 2.5524 -4.6232 7.7464 2.5524 4.6232 -7.7464" Properties=species:S:1:pos:R:3 pbc="T T T"
Nd 0.0000 2.3116 0.3907
Nd 2.5524 2.3116 2.7081
Nd 0.0000 2.3116 5.0384
Nd 2.5524 2.3116 7.3557
Tm 2.5524 0.0000 0.0000
Tm 2.5524 4.2154 -5.0957
Tm 2.5524 -0.4078 5.0957
Tm 0.0000 0.0000 7.7464
Tm 0.0000 5.0310 2.6508
Tm 0.0000 0.4078 12.8421
In 2.5524 2.3116 -2.2485
In 0.0000 2.3116 9.9949
```



4.
DFT (PBE) results for Nd3Tm3In2 after structural relaxation.

Computed properties:
The space group is Pmmm. Its formation energy is -0.259 eV/atom. As for the distance to the lowest polymorph of the same formula: 0 meV per atom. The theoretical density is 8.30 g/cm3. The magnetic moment is 0.00 μB per formula unit.

```
8
Lattice="4.8614 0.0000 0.0000 0.0000 4.8730 0.0000 0.0000 0.0000 9.8704" Properties=species:S:1:pos:R:3 pbc="T T T"
Nd 0.0000 0.0000 0.0000
Nd 0.0000 0.0000 4.9352
Nd 2.4307 2.4365 0.0000
Tm 2.4307 0.0000 2.4981
Tm 2.4307 0.0000 7.3723
Tm 2.4307 2.4365 4.9352
In 0.0000 2.4365 2.5134
In 0.0000 2.4365 7.3570
```